! GGA-PBE PuThPa2Pt4, relaxed; values from VASP
&SYSTEM
  ibrav = 0, nat = 8, ntyp = 4
/
ATOMIC_SPECIES
Pu 244.00 Pu.upf
Th 232.04 Th.upf
Pa 231.04 Pa.upf
Pt 195.08 Pt.upf
CELL_PARAMETERS angstrom
0.000 4.234 5.821
3.971 0.000 5.821
3.971 4.234 0.000
ATOMIC_POSITIONS angstrom
Pu 0.000 0.000 0.000
Th 3.971 4.234 5.821
Pa 1.985 2.117 2.910
Pa 5.956 6.352 8.731
Pt 1.985 2.117 0.000
Pt 3.971 4.234 2.895
Pt 1.985 2.117 5.821
Pt 3.971 4.234 8.747
! Mass density: 14.58 g/cm³
! SG: Fmmm
! Energy of formation from the pure elements: -0.897 eV/atom
! Magnetization: 6.27 μB per cell

---

! GGA-PBE PuUPaPt, relaxed; values from VASP
&SYSTEM
  ibrav = 0, nat = 16, ntyp = 4
/
ATOMIC_SPECIES
Pu 244.00 Pu.upf
U 238.03 U.upf
Pa 231.04 Pa.upf
Pt 195.08 Pt.upf
CELL_PARAMETERS angstrom
6.909 0.000 0.000
0.000 6.909 0.000
0.000 0.000 6.909
ATOMIC_POSITIONS angstrom
Pu 0.000 0.000 0.000
Pu 0.000 3.454 3.454
Pu 3.454 0.000 3.454
Pu 3.454 3.454 0.000
U 1.727 1.727 5.182
U 1.727 5.182 1.727
U 5.182 1.727 1.727
U 5.182 5.182 5.182
Pa 0.000 0.000 3.454
Pa 0.000 3.454 0.000
Pa 3.454 0.000 0.000
Pa 3.454 3.454 3.454
Pt 1.727 1.727 1.727
Pt 1.727 5.182 5.182
Pt 5.182 1.727 5.182
Pt 5.182 5.182 1.727
! Mass density: 18.29 g/cm³
! SG: F-43m
! Energy of formation from the pure elements: -0.251 eV/atom
! Magnetization: 12.26 μB per cell

---

! GGA-PBE PuZrPaPt, relaxed; values from VASP
&SYSTEM
  ibrav = 0, nat = 16, ntyp = 4
/
ATOMIC_SPECIES
Pu 244.00 Pu.upf
Zr 91.22 Zr.upf
Pa 231.04 Pa.upf
Pt 195.08 Pt.upf
CELL_PARAMETERS angstrom
6.960 0.000 0.000
0.000 6.960 0.000
0.000 0.000 6.960
ATOMIC_POSITIONS angstrom
Pu 0.000 0.000 0.000
Pu 0.000 3.480 3.480
Pu 3.480 0.000 3.480
Pu 3.480 3.480 0.000
Zr 1.740 1.740 1.740
Zr 1.740 5.220 5.220
Zr 5.220 1.740 5.220
Zr 5.220 5.220 1.740
Pa 1.740 1.740 5.220
Pa 1.740 5.220 1.740
Pa 5.220 1.740 1.740
Pa 5.220 5.220 5.220
Pt 0.000 0.000 3.480
Pt 0.000 3.480 0.000
Pt 3.480 0.000 0.000
Pt 3.480 3.480 3.480
! Mass density: 15.00 g/cm³
! SG: F-43m
! Energy of formation from the pure elements: -0.393 eV/atom
! Magnetization: 28.26 μB per cell

---

! GGA-PBE RbPaPt2, relaxed; values from VASP
&SYSTEM
  ibrav = 0, nat = 4, ntyp = 3
/
ATOMIC_SPECIES
Rb 85.47 Rb.upf
Pa 231.04 Pa.upf
Pt 195.08 Pt.upf
CELL_PARAMETERS angstrom
3.566 0.000 0.000
0.000 3.566 0.000
0.000 0.000 8.407
ATOMIC_POSITIONS angstrom
Rb 0.000 0.000 0.000
Pa 0.000 0.000 4.204
Pt 1.783 1.783 2.730
Pt 1.783 1.783 5.678
! Mass density: 10.97 g/cm³
! SG: P4/mmm
! Energy of formation from the pure elements: -0.571 eV/atom
! Magnetization: 0.00 μB per cell

---

! GGA-PBE RbPa2Pt2S6, relaxed; values from VASP
&SYSTEM
  ibrav = 0, nat = 11, ntyp = 4
/
ATOMIC_SPECIES
Rb 85.47 Rb.upf
Pa 231.04 Pa.upf
Pt 195.08 Pt.upf
S 32.06 S.upf
CELL_PARAMETERS angstrom
7.024 0.000 0.000
-3.499 6.121 0.000
-3.078 -2.206 6.538
ATOMIC_POSITIONS angstrom
Rb 0.000 0.000 0.000
Pa -0.896 0.572 4.406
Pa 1.344 3.343 2.132
Pt -3.485 2.963 4.422
Pt 3.933 0.952 2.115
S -3.447 4.658 2.855
S -1.003 2.082 2.228
S -2.295 2.092 6.201
S 2.743 1.823 0.337
S 1.451 1.834 4.310
S 3.894 -0.743 3.683
! Mass density: 6.68 g/cm³
! SG: P-1
! Uncorrected energy: -6.250 eV per atom
! Magnetization: 0.00 μB per cell

---

! GGA-PBE RbPaPtSe3, relaxed; values from VASP
&SYSTEM
  ibrav = 0, nat = 12, ntyp = 4
/
ATOMIC_SPECIES
Rb 85.47 Rb.upf
Pa 231.04 Pa.upf
Pt 195.08 Pt.upf
Se 78.96 Se.upf
CELL_PARAMETERS angstrom
2.054 -7.867 0.000
2.054 7.867 0.000
0.000 0.000 10.410
ATOMIC_POSITIONS angstrom
Rb 2.054 3.959 7.808
Rb 2.054 -3.959 2.603
Pa 0.000 0.000 0.000
Pa 0.000 0.000 5.205
Pt 2.054 0.427 2.603
Pt 2.054 -0.427 7.808
Se 2.054 6.766 2.603
Se 2.054 1.923 0.541
Se 2.054 1.923 4.664
Se 2.054 -1.923 5.746
Se 2.054 -1.923 9.869
Se 2.054 -6.766 7.808
! Mass density: 7.39 g/cm³
! SG: Cmcm
! Uncorrected energy: -5.697 eV per atom
! Magnetization: 0.11 μB per cell

---

! GGA-PBE Rb3Pa3PtSe8, relaxed; values from VASP
&SYSTEM
  ibrav = 0, nat = 15, ntyp = 4
/
ATOMIC_SPECIES
Rb 85.47 Rb.upf
Pa 231.04 Pa.upf
Pt 195.08 Pt.upf
Se 78.96 Se.upf
CELL_PARAMETERS angstrom
6.821 -4.379 0.000
6.821 4.379 0.000
-4.053 0.000 8.100
ATOMIC_POSITIONS angstrom
Rb 0.000 0.000 0.000
Rb 3.411 2.189 0.000
Rb 3.411 -2.189 0.000
Pa 1.384 2.189 4.050
Pa 1.384 -2.189 4.050
Pa 4.795 0.000 4.050
Pt -2.027 0.000 4.050
Se 0.063 0.000 5.431
Se 3.570 1.905 5.747
Se 2.403 0.000 2.424
Se 6.019 1.905 2.353
Se 3.570 -1.905 5.747
Se 7.187 0.000 5.676
Se 6.019 -1.905 2.353
Se 9.527 0.000 2.669
! Mass density: 6.10 g/cm³
! SG: C2/m
! Uncorrected energy: -5.489 eV per atom
! Magnetization: 2.52 μB per cell

---

! GGA-PBE Rb2PaPt2Se4, relaxed; values from VASP
&SYSTEM
  ibrav = 0, nat = 9, ntyp = 4
/
ATOMIC_SPECIES
Rb 85.47 Rb.upf
Pa 231.04 Pa.upf
Pt 195.08 Pt.upf
Se 78.96 Se.upf
CELL_PARAMETERS angstrom
7.468 -2.046 0.000
7.468 2.046 0.000
-2.675 0.000 7.965
ATOMIC_POSITIONS angstrom
Rb 1.798 0.000 0.572
Rb 10.462 0.000 7.393
Pa -1.338 0.000 3.983
Pt 3.379 0.000 3.781
Pt 8.882 0.000 4.184
Se 0.999 0.000 5.527
Se 5.230 0.000 5.774
Se 7.031 0.000 2.191
Se 11.261 0.000 2.438
! Mass density: 7.56 g/cm³
! SG: C2/m
! Uncorrected energy: -5.127 eV per atom
! Magnetization: 0.00 μB per cell

---

! GGA-PBE RbPaPtSe4, relaxed; values from VASP
&SYSTEM
  ibrav = 0, nat = 14, ntyp = 4
/
ATOMIC_SPECIES
Rb 85.47 Rb.upf
Pa 231.04 Pa.upf
Pt 195.08 Pt.upf
Se 78.96 Se.upf
CELL_PARAMETERS angstrom
7.155 0.000 0.000
0.000 5.851 0.000
-2.841 0.000 9.245
ATOMIC_POSITIONS angstrom
Rb 1.502 1.463 0.472
Rb 2.813 4.389 8.773
Pa 0.390 1.463 5.075
Pa 3.924 4.389 4.169
Pt 0.919 4.389 3.046
Pt 3.396 1.463 6.199
Se -1.784 2.977 6.426
Se -1.784 5.801 6.426
Se 1.359 4.389 5.499
Se 2.906 4.389 1.595
Se 1.409 1.463 7.649
Se 2.955 1.463 3.746
Se 6.098 0.051 2.818
Se 6.098 2.875 2.818
! Mass density: 7.10 g/cm³
! SG: P2_1/m
! Uncorrected energy: -5.307 eV per atom
! Magnetization: 0.00 μB per cell

---

! GGA-PBE Pa2RePt, relaxed; values from VASP
&SYSTEM
  ibrav = 0, nat = 12, ntyp = 3
/
ATOMIC_SPECIES
Pa 231.04 Pa.upf
Re 186.21 Re.upf
Pt 195.08 Pt.upf
CELL_PARAMETERS angstrom
3.083 0.000 0.000
-1.542 2.670 0.000
0.000 0.000 30.277
ATOMIC_POSITIONS angstrom
Pa 0.000 0.000 2.551
Pa 0.000 0.000 27.726
Pa 0.000 1.780 17.634
Pa 0.000 1.780 22.736
Pa 1.542 0.890 7.541
Pa 1.542 0.890 12.643
Re 0.000 0.000 0.000
Re 0.000 1.780 20.185
Re 1.542 0.890 10.092
Pt 0.000 0.000 15.138
Pt 0.000 1.780 5.046
Pt 1.542 0.890 25.231
! Mass density: 16.85 g/cm³
! SG: R-3m
! Energy of formation from the pure elements: 0.193 eV/atom
! Magnetization: 0.01 μB per cell

---

! GGA-PBE PaRePt, relaxed; values from VASP
&SYSTEM
  ibrav = 0, nat = 6, ntyp = 3
/
ATOMIC_SPECIES
Pa 231.04 Pa.upf
Re 186.21 Re.upf
Pt 195.08 Pt.upf
CELL_PARAMETERS angstrom
3.091 0.000 0.000
0.000 3.091 0.000
0.000 0.000 11.839
ATOMIC_POSITIONS angstrom
Pa 0.773 0.773 2.955
Pa 2.318 2.318 8.884
Re 0.773 0.773 6.641
Re 2.318 2.318 5.198
Pt 0.773 0.773 10.865
Pt 2.318 2.318 0.975
! Mass density: 17.98 g/cm³
! SG: P4/nmm
! Energy of formation from the pure elements: -0.366 eV/atom
! Magnetization: 0.00 μB per cell

---

! GGA-PBE Pa4RePt, relaxed; values from VASP
&SYSTEM
  ibrav = 0, nat = 12, ntyp = 3
/
ATOMIC_SPECIES
Pa 231.04 Pa.upf
Re 186.21 Re.upf
Pt 195.08 Pt.upf
CELL_PARAMETERS angstrom
6.918 0.000 0.000
0.000 6.918 0.000
0.000 0.000 5.705
ATOMIC_POSITIONS angstrom
Pa 0.998 2.360 0.000
Pa 0.998 4.558 2.852
Pa 2.360 0.998 2.852
Pa 2.360 5.920 0.000
Pa 4.558 0.998 0.000
Pa 4.558 5.920 2.852
Pa 5.920 2.360 2.852
Pa 5.920 4.558 0.000
Re 0.000 0.000 1.426
Re 0.000 0.000 4.279
Pt 3.459 3.459 1.426
Pt 3.459 3.459 4.279
! Mass density: 15.88 g/cm³
! SG: P4/mcc
! Energy of formation from the pure elements: -0.351 eV/atom
! Magnetization: 0.00 μB per cell